Model i:
Compound: YMn3Zn
Source: Alexandria
Functional: GGA-PBE
Structure: optimized geometry

Structure (CIF):
```
data_YMn3Zn
_chemical_formula_sum 'Y1 Mn3 Zn1'
_space_group_name_H-M_alt 'P 1'
_space_group_IT_number 1
_cell_length_a 4.6898
_cell_length_b 4.6898
_cell_length_c 4.6898
_cell_angle_alpha 90.00
_cell_angle_beta 90.00
_cell_angle_gamma 90.00
loop_
_space_group_symop_operation_xyz
'x,y,z'
loop_
_atom_site_label
_atom_site_type_symbol
_atom_site_fract_x
_atom_site_fract_y
_atom_site_fract_z
Zn1 Zn 0.0000 0.0000 0.0000
Mn1 Mn 0.0000 0.0000 0.5000
Mn2 Mn 0.0000 0.5000 0.0000
Mn3 Mn 0.5000 0.0000 0.0000
Y1 Y 0.5000 0.5000 0.5000
```



Model ii:
Compound: YMn3Zn
Source: Alexandria
Functional: GGA-PBE
Structure: optimized geometry

Structure (CIF):
```
data_YMn3Zn
_chemical_formula_sum 'Y1 Mn3 Zn1'
_space_group_name_H-M_alt 'P 1'
_space_group_IT_number 1
_cell_length_a 4.9332
_cell_length_b 4.9332
_cell_length_c 4.9332
_cell_angle_alpha 90.00
_cell_angle_beta 90.00
_cell_angle_gamma 90.00
loop_
_space_group_symop_operation_xyz
'x,y,z'
loop_
_atom_site_label
_atom_site_type_symbol
_atom_site_fract_x
_atom_site_fract_y
_atom_site_fract_z
Mn1 Mn 0.5000 0.0000 0.0000
Mn2 Mn 0.0000 0.0000 0.5000
Zn1 Zn 0.5000 0.5000 0.5000
Mn3 Mn 0.0000 0.5000 0.0000
Y1 Y 0.0000 0.0000 0.0000
```



Stability summary - winner: model i; margin: 98.8 kJ/mol of atoms.



Model i:
Compound: YZr3Mn
Source: Alexandria
Functional: GGA-PBE
Structure: optimized geometry

Structure (CIF):
```
data_YZr3Mn
_chemical_formula_sum 'Y1 Zr3 Mn1'
_space_group_name_H-M_alt 'P 1'
_space_group_IT_number 1
_cell_length_a 5.1105
_cell_length_b 5.1105
_cell_length_c 5.1105
_cell_angle_alpha 90.00
_cell_angle_beta 90.00
_cell_angle_gamma 90.00
loop_
_space_group_symop_operation_xyz
'x,y,z'
loop_
_atom_site_label
_atom_site_type_symbol
_atom_site_fract_x
_atom_site_fract_y
_atom_site_fract_z
Zr1 Zr 0.0000 0.5000 0.0000
Y1 Y 0.0000 0.0000 0.0000
Zr2 Zr 0.0000 0.0000 0.5000
Mn1 Mn 0.5000 0.5000 0.5000
Zr3 Zr 0.5000 0.0000 0.0000
```



Model ii:
Compound: YZr3Mn
Source: Alexandria
Functional: GGA-PBE
Structure: optimized geometry

Structure (CIF):
```
data_YZr3Mn
_chemical_formula_sum 'Y1 Zr3 Mn1'
_space_group_name_H-M_alt 'P 1'
_space_group_IT_number 1
_cell_length_a 4.9504
_cell_length_b 4.9504
_cell_length_c 4.9504
_cell_angle_alpha 90.00
_cell_angle_beta 90.00
_cell_angle_gamma 90.00
loop_
_space_group_symop_operation_xyz
'x,y,z'
loop_
_atom_site_label
_atom_site_type_symbol
_atom_site_fract_x
_atom_site_fract_y
_atom_site_fract_z
Y1 Y 0.5000 0.5000 0.5000
Zr1 Zr 0.0000 0.5000 0.0000
Mn1 Mn 0.0000 0.0000 0.0000
Zr2 Zr 0.0000 0.0000 0.5000
Zr3 Zr 0.5000 0.0000 0.0000
```



Stability summary - winner: model ii; margin: 173.5 kJ/mol of atoms.



Model i:
Compound: YZr2Mn
Source: Alexandria
Functional: GGA-PBE
Structure: optimized geometry

Structure (CIF):
```
data_YZr2Mn
_chemical_formula_sum 'Y1 Zr2 Mn1'
_space_group_name_H-M_alt 'P 1'
_space_group_IT_number 1
_cell_length_a 5.5016
_cell_length_b 5.5016
_cell_length_c 5.5016
_cell_angle_alpha 131.68
_cell_angle_beta 131.68
_cell_angle_gamma 70.74
loop_
_space_group_symop_operation_xyz
'x,y,z'
loop_
_atom_site_label
_atom_site_type_symbol
_atom_site_fract_x
_atom_site_fract_y
_atom_site_fract_z
Zr1 Zr 0.2500 0.7500 0.5000
Y1 Y 0.7500 0.2500 0.5000
Zr2 Zr 0.0000 0.0000 0.0000
Mn1 Mn 0.5000 0.5000 0.0000
```



Model ii:
Compound: YZr2Mn
Source: Alexandria
Functional: GGA-PBE
Structure: optimized geometry

Structure (CIF):
```
data_YZr2Mn
_chemical_formula_sum 'Y1 Zr2 Mn1'
_space_group_name_H-M_alt 'P 1'
_space_group_IT_number 1
_cell_length_a 3.2360
_cell_length_b 3.2360
_cell_length_c 8.3824
_cell_angle_alpha 90.00
_cell_angle_beta 90.00
_cell_angle_gamma 90.00
loop_
_space_group_symop_operation_xyz
'x,y,z'
loop_
_atom_site_label
_atom_site_type_symbol
_atom_site_fract_x
_atom_site_fract_y
_atom_site_fract_z
Zr1 Zr 0.0000 0.0000 0.0689
Mn1 Mn 0.5000 0.5000 0.2500
Zr2 Zr 0.0000 0.0000 0.4311
Y1 Y 0.5000 0.5000 0.7500
```



Stability summary - winner: model ii; margin: 16.3 kJ/mol of atoms.



Model i:
Compound: YZr2Mn
Source: Alexandria
Functional: GGA-PBE
Structure: optimized geometry

Structure (CIF):
```
data_YZr2Mn
_chemical_formula_sum 'Y1 Zr2 Mn1'
_space_group_name_H-M_alt 'P 1'
_space_group_IT_number 1
_cell_length_a 10.1830
_cell_length_b 10.1830
_cell_length_c 10.1830
_cell_angle_alpha 18.37
_cell_angle_beta 18.37
_cell_angle_gamma 18.37
loop_
_space_group_symop_operation_xyz
'x,y,z'
loop_
_atom_site_label
_atom_site_type_symbol
_atom_site_fract_x
_atom_site_fract_y
_atom_site_fract_z
Y1 Y 0.7567 0.7567 0.7567
Mn1 Mn 0.5048 0.5048 0.5048
Zr1 Zr 0.2433 0.2433 0.2433
Zr2 Zr 0.9952 0.9952 0.9952
```



Model ii:
Compound: YZr2Mn
Source: Alexandria
Functional: GGA-PBE
Structure: optimized geometry

Structure (CIF):
```
data_YZr2Mn
_chemical_formula_sum 'Y1 Zr2 Mn1'
_space_group_name_H-M_alt 'P 1'
_space_group_IT_number 1
_cell_length_a 9.5342
_cell_length_b 9.5342
_cell_length_c 9.5342
_cell_angle_alpha 20.12
_cell_angle_beta 20.12
_cell_angle_gamma 20.12
loop_
_space_group_symop_operation_xyz
'x,y,z'
loop_
_atom_site_label
_atom_site_type_symbol
_atom_site_fract_x
_atom_site_fract_y
_atom_site_fract_z
Zr1 Zr 0.9806 0.9806 0.9806
Zr2 Zr 0.5194 0.5194 0.5194
Y1 Y 0.7500 0.7500 0.7500
Mn1 Mn 0.2500 0.2500 0.2500
```



Model iii:
Compound: YZr2Mn
Source: Alexandria
Functional: GGA-PBE
Structure: optimized geometry

Structure (CIF):
```
data_YZr2Mn
_chemical_formula_sum 'Y1 Zr2 Mn1'
_space_group_name_H-M_alt 'P 1'
_space_group_IT_number 1
_cell_length_a 4.7286
_cell_length_b 3.2875
_cell_length_c 6.2082
_cell_angle_alpha 74.64
_cell_angle_beta 90.00
_cell_angle_gamma 90.00
loop_
_space_group_symop_operation_xyz
'x,y,z'
loop_
_atom_site_label
_atom_site_type_symbol
_atom_site_fract_x
_atom_site_fract_y
_atom_site_fract_z
Zr1 Zr 0.0000 0.0381 0.0487
Mn1 Mn 0.0000 0.3166 0.4922
Zr2 Zr 0.5000 0.4407 0.2437
Y1 Y 0.5000 0.7045 0.7154
```



Stability summary - winner: model iii; margin: 2.8 kJ/mol of atoms.



Model i:
Compound: Mn2Zn3
Source: Alexandria
Functional: GGA-PBE
Structure: optimized geometry

Structure (CIF):
```
data_Mn2Zn3
_chemical_formula_sum 'Mn4 Zn6'
_space_group_name_H-M_alt 'P 1'
_space_group_IT_number 1
_cell_length_a 5.0302
_cell_length_b 5.0302
_cell_length_c 7.0030
_cell_angle_alpha 68.95
_cell_angle_beta 68.95
_cell_angle_gamma 60.00
loop_
_space_group_symop_operation_xyz
'x,y,z'
loop_
_atom_site_label
_atom_site_type_symbol
_atom_site_fract_x
_atom_site_fract_y
_atom_site_fract_z
Mn1 Mn 0.1951 0.1951 0.4147
Zn1 Zn 0.7500 0.2501 0.7500
Mn2 Mn 0.8049 0.8049 0.5853
Zn2 Zn 0.2499 0.7500 0.7500
Mn3 Mn 0.6951 0.6951 0.9147
Zn3 Zn 0.7501 0.2500 0.2500
Mn4 Mn 0.3049 0.3049 0.0853
Zn4 Zn 0.2500 0.7499 0.2500
Zn5 Zn 0.2501 0.2499 0.7500
Zn6 Zn 0.7499 0.7501 0.2500
```



Model ii:
Compound: Mn2Zn3
Source: Alexandria
Functional: GGA-PBE
Structure: optimized geometry

Structure (CIF):
```
data_Mn2Zn3
_chemical_formula_sum 'Mn2 Zn3'
_space_group_name_H-M_alt 'P 1'
_space_group_IT_number 1
_cell_length_a 4.1264
_cell_length_b 4.2670
_cell_length_c 5.3320
_cell_angle_alpha 116.96
_cell_angle_beta 90.00
_cell_angle_gamma 118.92
loop_
_space_group_symop_operation_xyz
'x,y,z'
loop_
_atom_site_label
_atom_site_type_symbol
_atom_site_fract_x
_atom_site_fract_y
_atom_site_fract_z
Zn1 Zn 0.8020 0.6040 0.4029
Mn1 Mn 0.3976 0.7952 0.1963
Zn2 Zn 0.1980 0.3960 0.5971
Mn2 Mn 0.6024 0.2048 0.8037
Zn3 Zn 0.0000 0.0000 0.0000
```



Model iii:
Compound: Mn2Zn3
Source: Alexandria
Functional: GGA-PBE
Structure: optimized geometry

Structure (CIF):
```
data_Mn2Zn3
_chemical_formula_sum 'Mn2 Zn3'
_space_group_name_H-M_alt 'P 1'
_space_group_IT_number 1
_cell_length_a 11.1511
_cell_length_b 11.1511
_cell_length_c 11.1511
_cell_angle_alpha 13.83
_cell_angle_beta 13.83
_cell_angle_gamma 13.83
loop_
_space_group_symop_operation_xyz
'x,y,z'
loop_
_atom_site_label
_atom_site_type_symbol
_atom_site_fract_x
_atom_site_fract_y
_atom_site_fract_z
Mn1 Mn 0.3990 0.3990 0.3990
Mn2 Mn 0.6010 0.6010 0.6010
Zn1 Zn 0.2026 0.2026 0.2026
Zn2 Zn 0.7974 0.7974 0.7974
Zn3 Zn 0.0000 0.0000 0.0000
```



Stability summary - winner: model ii; margin: 4.8 kJ/mol of atoms.



Model i:
Compound: Mn2Zn3
Source: Alexandria
Functional: GGA-PBE
Structure: optimized geometry

Structure (CIF):
```
data_Mn2Zn3
_chemical_formula_sum 'Mn4 Zn6'
_space_group_name_H-M_alt 'P 1'
_space_group_IT_number 1
_cell_length_a 7.7935
_cell_length_b 6.8609
_cell_length_c 5.1261
_cell_angle_alpha 79.67
_cell_angle_beta 60.01
_cell_angle_gamma 40.32
loop_
_space_group_symop_operation_xyz
'x,y,z'
loop_
_atom_site_label
_atom_site_type_symbol
_atom_site_fract_x
_atom_site_fract_y
_atom_site_fract_z
Zn1 Zn 0.5005 0.7923 0.9058
Zn2 Zn 0.9527 0.0473 0.0473
Zn3 Zn 0.2027 0.2973 0.2973
Zn4 Zn 0.8014 0.9058 0.7923
Zn5 Zn 0.4577 0.7495 0.4486
Mn1 Mn 0.7076 0.8939 0.3606
Zn6 Zn 0.3442 0.4486 0.7495
Mn2 Mn 0.3561 0.5424 0.2121
Mn3 Mn 0.0379 0.3606 0.8939
Mn4 Mn 0.8894 0.2121 0.5424
```



Model ii:
Compound: Mn2Zn3
Source: Alexandria
Functional: GGA-PBE
Structure: optimized geometry

Structure (CIF):
```
data_Mn2Zn3
_chemical_formula_sum 'Mn2 Zn3'
_space_group_name_H-M_alt 'P 1'
_space_group_IT_number 1
_cell_length_a 4.2039
_cell_length_b 4.2039
_cell_length_c 5.2102
_cell_angle_alpha 90.00
_cell_angle_beta 90.00
_cell_angle_gamma 120.00
loop_
_space_group_symop_operation_xyz
'x,y,z'
loop_
_atom_site_label
_atom_site_type_symbol
_atom_site_fract_x
_atom_site_fract_y
_atom_site_fract_z
Zn1 Zn 0.0000 0.0000 0.0000
Mn1 Mn 0.3333 0.6667 0.8563
Zn2 Zn 0.6667 0.3333 0.6403
Mn2 Mn 0.6667 0.3333 0.1437
Zn3 Zn 0.3333 0.6667 0.3597
```



Stability summary - winner: model i; margin: 9.8 kJ/mol of atoms.